PBE-GGA NdBiRh3, optimized geometry; M_tot = 0.00 Bohr magnetons per cell; volume = 202 Å³/cell; formation enthalpy at 0 K = -344.9 meV per atom; SG = Imma (74)
1.0
6.4776 1.5285 -0.1191
-1.7656 6.4170 0.1191
-3.5267 -3.2785 4.5960
Nd Bi Rh
2 2 6
Cartesian
2.4398 3.7667 3.4173
-1.2545 0.9003 1.1788
2.3560 3.9728 0.0000
1.4754 -0.8750 2.2385
1.6310 1.7177 1.3729
-1.9212 3.8243 0.9847
-0.4457 2.9493 3.2231
-3.3711 -0.6858 3.7304
2.0146 6.4127 1.1788
-0.8293 -1.7457 3.4173